The following is a PBE-GGA calculation of a relaxed NdU3S6 crystal, from the Alexandria database.

Calculated values
density = 7.42 Mg/m³
raw formation energy = -34.9 kcal/mol of atoms
E = -7.854 eV per atom

a = 3.926 Å, b = 10.910 Å, c = 11.511 Å
α = 107.53°, β = 90.00°, γ = 90.00°
Fractional positions:
U  0.250  0.318  0.498
U  0.250  0.563  0.165
U  0.750  0.437  0.835
U  0.250  0.845  0.921
U  0.750  0.682  0.502
U  0.750  0.155  0.079
S  0.750  0.123  0.464
S  0.750  0.395  0.057
S  0.250  0.264  0.727
S  0.250  0.196  0.247
S  0.250  0.605  0.943
S  0.750  0.736  0.273
S  0.250  0.087  0.903
S  0.250  0.512  0.381
S  0.750  0.488  0.619
S  0.750  0.913  0.097
S  0.250  0.877  0.536
S  0.750  0.804  0.753
Nd  0.250  0.951  0.305
Nd  0.750  0.049  0.695



The following is a PBE-GGA calculation of a relaxed Nd2US6 crystal, from the Alexandria database.

Calculated values
density = 4.65 Mg/m³
polymorph energy (0 for the lowest one) = 0.798 eV per formula unit
raw formation energy = -35.4 kcal/mol of atoms
E = -6.599 eV per atom

a = 6.421 Å, b = 6.421 Å, c = 12.445 Å
α = 90.00°, β = 90.00°, γ = 90.00°
Fractional positions:
U  0.500  0.500  0.500
U  0.000  0.000  0.000
S  0.812  0.188  0.847
S  0.715  0.715  0.000
S  0.312  0.312  0.653
S  0.688  0.688  0.347
S  0.312  0.312  0.347
S  0.215  0.785  0.500
S  0.285  0.285  0.000
S  0.188  0.812  0.847
S  0.785  0.215  0.500
S  0.688  0.688  0.653
S  0.188  0.812  0.153
S  0.812  0.188  0.153
Nd  0.500  0.500  0.166
Nd  0.000  0.000  0.334
Nd  0.500  0.500  0.834
Nd  0.000  0.000  0.666



Q: Which formula does entry 2 have?
A: Nd2US6



What did the first record say?
The following is a PBE-GGA calculation of a relaxed NdU3S6 crystal, from the Alexandria database.

Calculated values
density = 7.42 Mg/m³
raw formation energy = -34.9 kcal/mol of atoms
E = -7.854 eV per atom

a = 3.926 Å, b = 10.910 Å, c = 11.511 Å
α = 107.53°, β = 90.00°, γ = 90.00°
Fractional positions:
U  0.250  0.318  0.498
U  0.250  0.563  0.165
U  0.750  0.437  0.835
U  0.250  0.845  0.921
U  0.750  0.682  0.502
U  0.750  0.155  0.079
S  0.750  0.123  0.464
S  0.750  0.395  0.057
S  0.250  0.264  0.727
S  0.250  0.196  0.247
S  0.250  0.605  0.943
S  0.750  0.736  0.273
S  0.250  0.087  0.903
S  0.250  0.512  0.381
S  0.750  0.488  0.619
S  0.750  0.913  0.097
S  0.250  0.877  0.536
S  0.750  0.804  0.753
Nd  0.250  0.951  0.305
Nd  0.750  0.049  0.695



Q: Among the records above, which one has the highest raw formation energy?
A: NdU3S6